# CsPaZnTe4

CsPaZnTe4 after structural relaxation (PBE-GGA, Alexandria).

Values from the calculation:
space group	P2_1/m
E_form (uncorrected)	-0.77	eV/atom

Unit cell a=6.993 b=7.597 c=10.427 alpha=90.00 beta=107.43 gamma=90.00
Fractional coordinates of all 14 atoms:
Cs 0.187 0.250 0.461
Cs 0.813 0.750 0.539
Pa 0.325 0.750 0.055
Pa 0.675 0.250 0.945
Zn 0.123 0.250 0.847
Zn 0.877 0.750 0.153
Te 0.110 0.250 0.094
Te 0.238 0.750 0.322
Te 0.349 0.518 0.808
Te 0.349 0.982 0.808
Te 0.651 0.018 0.192
Te 0.651 0.482 0.192
Te 0.762 0.250 0.678
Te 0.890 0.750 0.906

---

# Cs3Pa3ZnTe8

Cs3Pa3ZnTe8 after structural relaxation (PBE-GGA, Alexandria).

Values from the calculation:
space group	R-3m
E_form (uncorrected)	-0.83	eV/atom

Unit cell a=10.491 b=10.491 c=10.491 alpha=50.36 beta=50.36 gamma=50.36
Fractional coordinates of all 15 atoms:
Cs 0.000 0.500 0.500
Cs 0.500 0.000 0.500
Cs 0.500 0.500 0.000
Pa 0.000 0.000 0.500
Pa 0.000 0.500 0.000
Pa 0.500 0.000 0.000
Zn 0.500 0.500 0.500
Te 0.232 0.232 0.232
Te 0.233 0.724 0.724
Te 0.276 0.276 0.767
Te 0.276 0.767 0.276
Te 0.724 0.233 0.724
Te 0.724 0.724 0.233
Te 0.767 0.276 0.276
Te 0.768 0.768 0.768

---

# Cs3Zr2PaTe6

Cs3Zr2PaTe6 after structural relaxation (PBE-GGA, Alexandria).

Values from the calculation:
space group	C2/m
E_form (uncorrected)	-0.94	eV/atom

Unit cell a=7.444 b=7.444 c=9.452 alpha=97.54 beta=97.54 gamma=120.08
Fractional coordinates of all 12 atoms:
Cs 0.000 0.000 0.000
Cs 0.336 0.664 0.000
Cs 0.664 0.336 0.000
Zr 0.168 0.832 0.500
Zr 0.832 0.168 0.500
Pa 0.500 0.500 0.500
Te 0.093 0.436 0.309
Te 0.220 0.220 0.689
Te 0.436 0.093 0.309
Te 0.564 0.907 0.691
Te 0.780 0.780 0.311
Te 0.907 0.564 0.691

---

# CsPaZn

CsPaZn after structural relaxation (PBE-GGA, Alexandria).

Values from the calculation:
space group	C2/m
formation energy	0.548	eV per atom

Unit cell a=7.935 b=7.935 c=8.901 alpha=107.22 beta=107.22 gamma=27.19
Fractional coordinates of all 6 atoms:
Cs 0.096 0.096 0.352
Cs 0.904 0.904 0.648
Pa 0.213 0.213 0.895
Pa 0.787 0.787 0.105
Zn 0.421 0.421 0.018
Zn 0.579 0.579 0.982

---

# CsPb

CsPb after structural relaxation (PBE-GGA, Alexandria).

Values from the calculation:
space group	I-43m
formation energy	-0.128	eV per atom
offset from the most stable computed form	0.128	eV/atom

Unit cell a=9.848 b=9.848 c=9.848 alpha=109.47 beta=109.47 gamma=109.47
Fractional coordinates of all 8 atoms:
Cs 0.000 0.000 0.583
Cs 0.000 0.583 0.000
Cs 0.417 0.417 0.417
Cs 0.583 0.000 0.000
Pb 0.000 0.000 0.195
Pb 0.000 0.195 0.000
Pb 0.195 0.000 0.000
Pb 0.805 0.805 0.805

---

# CsPb

CsPb after structural relaxation (PBE-GGA, Alexandria).

Values from the calculation:
space group	Pmmn
formation energy	-0.063	eV per atom
offset from the most stable computed form	0.193	eV/atom

Unit cell a=6.255 b=13.061 c=8.251 alpha=90.00 beta=90.00 gamma=90.00
Fractional coordinates of all 12 atoms:
Cs 0.250 0.060 0.139
Cs 0.250 0.440 0.139
Cs 0.250 0.750 0.539
Cs 0.750 0.250 0.461
Cs 0.750 0.560 0.861
Cs 0.750 0.940 0.861
Pb 0.250 0.035 0.616
Pb 0.250 0.250 0.736
Pb 0.250 0.465 0.616
Pb 0.750 0.535 0.384
Pb 0.750 0.750 0.264
Pb 0.750 0.965 0.384